La2SmSi6: relaxed, PBE-GGA.

Summary:
Size of the total moment = 0.0000 μB/atom
Uncorrected formation energy = -14.23 kcal/mol of atoms

```
data_La2SmSi6
_symmetry_space_group_name_H-M 'P 6/m m m'
_symmetry_Int_Tables_number 191
_symmetry_space_group_name_Hall '-P 6 2'
_cell_length_a 7.1772
_cell_length_b 7.1772
_cell_length_c 4.2463
_cell_angle_alpha 90.00
_cell_angle_beta 90.00
_cell_angle_gamma 120.00
loop_
_atom_site_label
_atom_site_type_symbol
_atom_site_fract_x
_atom_site_fract_y
_atom_site_fract_z
_atom_site_occupancy
La1 La 0.3333 0.6667 0.0000 1
Sm1 Sm 0.0000 0.0000 0.0000 1
Si1 Si 0.0000 0.3309 0.5000 1
```